A plane-wave DFT calculation with PBE-GGA was carried out for crystalline Pa2Cd2O7 at its relaxed geometry.

Cell lengths 5.6339, 5.4936, 5.4936 Å; angles 85.97, 95.38, 95.38 degrees
Positions (direct):
Cd1 0.5000 0.7279 0.2721
Cd2 0.5000 0.2721 0.7279
O1 0.2359 0.0229 0.5328
O2 0.0000 0.0000 0.0000
O3 0.7641 0.9771 0.4672
O4 0.7725 0.4792 0.4792
O5 0.7641 0.4672 0.9771
O6 0.2359 0.5328 0.0229
O7 0.2275 0.5208 0.5208
Pa1 0.9904 0.2689 0.2689
Pa2 0.0096 0.7311 0.7311

Properties
- Symmetry: No. 12
- Total magnetization: 0.0 μB/f.u.

***

A plane-wave DFT calculation with PBE-GGA was carried out for crystalline PaCdO3 at its relaxed geometry.

Cell lengths 8.0662, 5.7326, 8.1894 Å; angles 90.00, 103.67, 90.00 degrees
Positions (direct):
O1 0.0626 0.9260 0.6650
O2 0.8521 0.9260 0.9264
O3 0.9374 0.4260 0.8350
O4 0.1479 0.0740 0.0736
O5 0.3112 0.9329 0.4520
O6 0.1479 0.4260 0.5736
O7 0.8521 0.5740 0.4264
O8 0.6888 0.4329 0.0480
O9 0.9374 0.0740 0.3350
O10 0.3112 0.5671 0.9520
O11 0.6888 0.0671 0.5480
O12 0.0626 0.5740 0.1650
Pa1 0.0892 0.7470 0.4228
Pa2 0.0892 0.7530 0.9228
Pa3 0.9108 0.2470 0.0772
Pa4 0.9108 0.2530 0.5772
Cd1 0.4284 0.2845 0.4994
Cd2 0.4284 0.2155 0.9994
Cd3 0.5716 0.7845 0.0006
Cd4 0.5716 0.7155 0.5006

Properties
- Symmetry: No. 14
- Total magnetization: 0.0 μB/f.u.

***

A plane-wave DFT calculation with PBE-GGA was carried out for crystalline PaCd2O4 at its relaxed geometry.

Cell lengths 6.4545, 6.4543, 6.4543 Å; angles 102.16, 113.25, 113.25 degrees
Positions (direct):
Pa1 0.0000 0.0000 0.0000
Pa2 0.5000 0.7500 0.2500
O1 0.2005 0.7118 0.9123
O2 0.7005 0.6623 0.9618
O3 0.2995 0.2613 0.9618
O4 0.2995 0.0382 0.3377
O5 0.7995 0.0877 0.2882
O6 0.7995 0.7118 0.5113
O7 0.2005 0.4887 0.2882
O8 0.7005 0.0382 0.7387
Cd1 0.2500 0.3750 0.6250
Cd2 0.2500 0.8750 0.6250
Cd3 0.7500 0.3750 0.1250
Cd4 0.7500 0.3750 0.6250

Properties
- Symmetry: No. 141
- Total magnetization: 0.0 μB/f.u.

***

A plane-wave DFT calculation with PBE-GGA was carried out for crystalline PaCdO at its relaxed geometry.

Cell lengths 3.9291, 8.1132, 8.4325 Å; angles 93.70, 103.47, 90.00 degrees
Positions (direct):
Pa1 0.3222 0.8804 0.6443
Pa2 0.3254 0.3912 0.6509
Pa3 0.6778 0.1196 0.3557
Pa4 0.6746 0.6088 0.3491
Cd1 0.9424 0.6313 0.8849
Cd2 0.0576 0.3687 0.1151
Cd3 0.4722 0.1581 0.9445
Cd4 0.5278 0.8419 0.0555
O1 0.2469 0.6253 0.4938
O2 0.2516 0.1249 0.5032
O3 0.7531 0.3747 0.5062
O4 0.7484 0.8751 0.4968

Properties
- Symmetry: No. 12
- Total magnetization: 1.2 μB/f.u.

***

A plane-wave DFT calculation with PBE-GGA was carried out for crystalline Pa3Cd5O12 at its relaxed geometry.

Cell lengths 11.4427, 11.4427, 11.4427 Å; angles 109.47, 109.47, 109.47 degrees
Positions (direct):
O1 0.8285 0.9067 0.2688
O2 0.9218 0.0933 0.8622
O3 0.1715 0.0782 0.9403
O4 0.0933 0.9218 0.3622
O5 0.5782 0.6378 0.4067
O6 0.3622 0.9403 0.7688
O7 0.8622 0.5933 0.9218
O8 0.0782 0.9067 0.1378
O9 0.0597 0.6378 0.7312
O10 0.0597 0.4218 0.8285
O11 0.0782 0.1715 0.4403
O12 0.2312 0.5597 0.6378
O13 0.9218 0.8285 0.5597
O14 0.8285 0.9218 0.0597
O15 0.5597 0.3285 0.9218
O16 0.6378 0.5782 0.9067
O17 0.1378 0.7312 0.5597
O18 0.4403 0.6715 0.0782
O19 0.5933 0.7312 0.6715
O20 0.5933 0.8622 0.4218
O21 0.6715 0.4403 0.5782
O22 0.0933 0.1715 0.2312
O23 0.8622 0.2688 0.4403
O24 0.3285 0.7688 0.4067
O25 0.7312 0.1378 0.0597
O26 0.4218 0.3622 0.5933
O27 0.1715 0.0933 0.7312
O28 0.5597 0.2312 0.1378
O29 0.4067 0.2688 0.3285
O30 0.4403 0.7688 0.8622
O31 0.2688 0.4067 0.8285
O32 0.6715 0.2312 0.5933
O33 0.5782 0.9403 0.6715
O34 0.9403 0.3622 0.2688
O35 0.4067 0.1378 0.5782
O36 0.3285 0.5597 0.4218
O37 0.7312 0.5933 0.1715
O38 0.7688 0.3285 0.9067
O39 0.6378 0.0597 0.2312
O40 0.9067 0.0782 0.6378
O41 0.4218 0.0597 0.3285
O42 0.2688 0.8622 0.9403
O43 0.2312 0.6715 0.0933
O44 0.7688 0.4403 0.3622
O45 0.1378 0.4067 0.0782
O46 0.3622 0.4218 0.0933
O47 0.9403 0.5782 0.1715
O48 0.9067 0.8285 0.7688
Pa1 0.8750 0.1250 0.2500
Pa2 0.2500 0.1250 0.3750
Pa3 0.7500 0.3750 0.1250
Pa4 0.1250 0.8750 0.7500
Pa5 0.6250 0.3750 0.7500
Pa6 0.7500 0.8750 0.6250
Pa7 0.2500 0.6250 0.8750
Pa8 0.8750 0.7500 0.1250
Pa9 0.3750 0.7500 0.6250
Pa10 0.3750 0.6250 0.2500
Pa11 0.6250 0.2500 0.3750
Pa12 0.1250 0.2500 0.8750
Cd1 0.5000 0.5000 0.0000
Cd2 0.3750 0.2500 0.1250
Cd3 0.0000 0.5000 0.0000
Cd4 0.2500 0.8750 0.1250
Cd5 0.6250 0.7500 0.8750
Cd6 0.8750 0.6250 0.7500
Cd7 0.0000 0.5000 0.5000
Cd8 0.1250 0.7500 0.3750
Cd9 0.2500 0.3750 0.6250
Cd10 0.7500 0.6250 0.3750
Cd11 0.5000 0.5000 0.5000
Cd12 0.3750 0.1250 0.7500
Cd13 0.7500 0.1250 0.8750
Cd14 0.8750 0.2500 0.6250
Cd15 0.0000 0.0000 0.0000
Cd16 0.1250 0.3750 0.2500
Cd17 0.5000 0.0000 0.5000
Cd18 0.0000 0.0000 0.5000
Cd19 0.5000 0.0000 0.0000
Cd20 0.6250 0.8750 0.2500

Properties
- Symmetry: No. 230
- Total magnetization: 1.1 μB/f.u.

***

A plane-wave DFT calculation with PBE-GGA was carried out for crystalline Pa2CdO at its relaxed geometry.

Cell lengths 3.2209, 3.2209, 9.9814 Å; angles 80.72, 80.72, 60.00 degrees
Positions (direct):
Pa1 0.8873 0.8873 0.3380
Pa2 0.1127 0.1127 0.6620
Cd1 0.0000 0.0000 0.0000
O1 0.5000 0.5000 0.5000

Properties
- Symmetry: No. 166
- Total magnetization: 0.0 μB/f.u.

***

A plane-wave DFT calculation with PBE-GGA was carried out for crystalline PaCdO3 at its relaxed geometry.

Cell lengths 4.3693, 4.3693, 4.3693 Å; angles 90.00, 90.00, 90.00 degrees
Positions (direct):
Cd1 0.5000 0.5000 0.5000
O1 0.0000 0.0000 0.5000
O2 0.0000 0.5000 0.0000
O3 0.5000 0.0000 0.0000
Pa1 0.0000 0.0000 0.0000

Properties
- Symmetry: No. 221
- Total magnetization: 0.0 μB/f.u.

***

A plane-wave DFT calculation with PBE-GGA was carried out for crystalline Pa3CdO8 at its relaxed geometry.

Cell lengths 7.1550, 7.1550, 6.9419 Å; angles 58.98, 58.98, 60.00 degrees
Positions (direct):
O1 0.6728 0.2615 0.8042
O2 0.2615 0.6728 0.8042
O3 0.2732 0.2732 0.1805
O4 0.7385 0.7385 0.1958
O5 0.2615 0.2615 0.8042
O6 0.3272 0.7385 0.1958
O7 0.7385 0.3272 0.1958
O8 0.7268 0.7268 0.8195
Pa1 0.5000 0.5000 0.0000
Pa2 0.0000 0.5000 0.0000
Pa3 0.5000 0.0000 0.0000
Cd1 0.5000 0.5000 0.5000

Properties
- Symmetry: No. 166
- Total magnetization: 1.1 μB/f.u.

***

A plane-wave DFT calculation with PBE-GGA was carried out for crystalline Pa2Cd4O9 at its relaxed geometry.

Cell lengths 5.7639, 5.7635, 15.7835 Å; angles 90.00, 90.00, 60.00 degrees
Positions (direct):
O1 0.0302 0.6540 0.5847
O2 0.9703 0.6842 0.9153
O3 0.3157 0.6543 0.0848
O4 0.2752 0.7250 0.7500
O5 0.9995 0.7255 0.2500
O6 0.6843 0.3457 0.9152
O7 0.6540 0.0300 0.0847
O8 0.7257 0.9997 0.7500
O9 0.2743 0.0003 0.2500
O10 0.3162 0.0297 0.5847
O11 0.6547 0.3156 0.5847
O12 0.7248 0.2750 0.2500
O13 0.3460 0.9700 0.9153
O14 0.9698 0.3460 0.4153
O15 0.0005 0.2745 0.7500
O16 0.3453 0.6844 0.4153
O17 0.0297 0.3158 0.0847
O18 0.6838 0.9703 0.4153
Cd1 0.3332 0.3334 0.4817
Cd2 0.3338 0.3331 0.6894
Cd3 0.6666 0.6667 0.0183
Cd4 0.3330 0.3335 0.1894
Cd5 0.6670 0.6665 0.8106
Cd6 0.6662 0.6669 0.3106
Cd7 0.6668 0.6666 0.5183
Cd8 0.3334 0.3333 0.9817
Pa1 0.0003 0.9999 0.8574
Pa2 0.0004 0.9997 0.6426
Pa3 0.9996 0.0003 0.3574
Pa4 0.9997 0.0001 0.1426

Properties
- Symmetry: No. 165
- Total magnetization: 0.0 μB/f.u.

***

A plane-wave DFT calculation with PBE-GGA was carried out for crystalline PaCd4PbO8 at its relaxed geometry.

Cell lengths 6.8020, 6.8020, 6.8503 Å; angles 60.23, 60.23, 60.00 degrees
Positions (direct):
Cd1 0.9930 0.5090 0.5049
Cd2 0.6275 0.6275 0.1175
Cd3 0.9930 0.9930 0.5049
Cd4 0.5090 0.9930 0.5049
Pb1 0.9940 0.9940 0.0181
Pa1 0.3689 0.3689 0.8932
O1 0.7583 0.7583 0.7251
O2 0.2577 0.7440 0.7405
O3 0.7626 0.7626 0.2490
O4 0.2258 0.7626 0.2490
O5 0.2458 0.2458 0.2625
O6 0.7440 0.2577 0.7405
O7 0.2577 0.2577 0.7405
O8 0.7626 0.2258 0.2490

Properties
- Symmetry: No. 160
- Total magnetization: 0.0 μB/f.u.

***

A plane-wave DFT calculation with PBE-GGA was carried out for crystalline PaCdPbO5 at its relaxed geometry.

Cell lengths 6.0194, 6.0194, 7.8002 Å; angles 93.07, 93.07, 117.68 degrees
Positions (direct):
O1 0.0006 0.3270 0.1310
O2 0.9994 0.6730 0.8690
O3 0.7819 0.5909 0.5091
O4 0.3270 0.0006 0.6310
O5 0.1031 0.8969 0.2500
O6 0.2181 0.4091 0.4909
O7 0.6730 0.9994 0.3690
O8 0.8969 0.1031 0.7500
O9 0.4091 0.2181 0.9909
O10 0.5909 0.7819 0.0091
Cd1 0.6663 0.3337 0.7500
Cd2 0.3337 0.6663 0.2500
Pb1 0.6697 0.3303 0.2500
Pb2 0.3303 0.6697 0.7500
Pa1 0.0000 0.0000 0.5000
Pa2 0.0000 0.0000 0.0000

Properties
- Symmetry: No. 15
- Total magnetization: 0.0 μB/f.u.

***

A plane-wave DFT calculation with PBE-GGA was carried out for crystalline PaCdPbO6 at its relaxed geometry.

Cell lengths 4.8415, 5.6252, 5.6252 Å; angles 120.00, 90.00, 90.00 degrees
Positions (direct):
O1 0.2524 0.3206 0.3385
O2 0.2524 0.0179 0.6794
O3 0.7476 0.0179 0.3385
O4 0.2524 0.6615 0.9821
O5 0.7476 0.3206 0.9821
O6 0.7476 0.6615 0.6794
Cd1 0.5000 0.6667 0.3333
Pa1 0.0000 0.3333 0.6667
Pb1 0.5000 0.0000 0.0000

Properties
- Symmetry: No. 149
- Total magnetization: 0.8 μB/f.u.

***

A plane-wave DFT calculation with PBE-GGA was carried out for crystalline Pa2CdPbO8 at its relaxed geometry.

Cell lengths 5.4588, 5.4588, 6.7143 Å; angles 113.99, 113.99, 90.00 degrees
Positions (direct):
Pb1 0.7500 0.2500 0.5000
O1 0.3201 0.8074 0.2090
O2 0.5996 0.1388 0.7031
O3 0.5983 0.6799 0.7910
O4 0.8889 0.4017 0.2090
O5 0.8612 0.8965 0.2969
O6 0.1035 0.5643 0.7031
O7 0.1926 0.1111 0.7910
O8 0.4357 0.4004 0.2969
Pa1 0.2500 0.7500 0.5000
Pa2 0.5000 0.5000 0.0000
Cd1 0.0000 0.0000 0.0000

Properties
- Symmetry: No. 82
- Total magnetization: 0.0 μB/f.u.

***

A plane-wave DFT calculation with PBE-GGA was carried out for crystalline PaCdPbO4 at its relaxed geometry.

Cell lengths 7.3978, 7.1016, 7.1439 Å; angles 120.20, 90.00, 121.39 degrees
Positions (direct):
O1 0.3236 0.0141 0.7571
O2 0.7191 0.4382 0.2332
O3 0.6764 0.9859 0.2429
O4 0.2809 0.5618 0.7668
O5 0.3095 0.9859 0.2429
O6 0.6905 0.0141 0.7571
O7 0.2809 0.5618 0.2950
O8 0.7191 0.4382 0.7050
Pa1 0.5000 0.0000 0.5000
Pa2 0.5000 0.0000 0.0000
Cd1 0.5000 0.5000 0.5000
Cd2 0.0000 0.5000 0.5000
Pb1 0.1199 0.2397 0.8699
Pb2 0.8801 0.7603 0.1301

Properties
- Symmetry: No. 74
- Total magnetization: 0.0 μB/f.u.

***

A plane-wave DFT calculation with PBE-GGA was carried out for crystalline PaCd2PbO6 at its relaxed geometry.

Cell lengths 5.8587, 5.8586, 6.2123 Å; angles 90.01, 118.14, 119.99 degrees
Positions (direct):
O1 0.8222 0.6224 0.7031
O2 0.4721 0.0988 0.1835
O3 0.5184 0.8949 0.7033
O4 0.8251 0.7252 0.1832
O5 0.0989 0.3723 0.1835
O6 0.0946 0.1988 0.7031
Cd1 0.5650 0.7820 0.3329
Cd2 0.5706 0.2849 0.8413
Pa1 0.9952 0.9971 0.9782
Pb1 0.0034 0.5012 0.4906

Properties
- Symmetry: No. 146
- Total magnetization: 0.0 μB/f.u.

***

A plane-wave DFT calculation with PBE-GGA was carried out for crystalline PaCdPd2O8 at its relaxed geometry.

Cell lengths 6.0949, 6.0949, 6.0949 Å; angles 108.55, 108.55, 111.34 degrees
Positions (direct):
Cd1 0.2500 0.7500 0.5000
O1 0.5467 0.7182 0.8285
O2 0.2818 0.1103 0.8285
O3 0.9570 0.2738 0.3168
O4 0.9570 0.6401 0.6832
O5 0.8897 0.7182 0.1715
O6 0.7262 0.0430 0.6832
O7 0.3599 0.0430 0.3168
O8 0.2818 0.4533 0.1715
Pd1 0.7500 0.2500 0.5000
Pd2 0.5000 0.5000 0.0000
Pa1 0.0000 0.0000 0.0000

Properties
- Symmetry: No. 119
- Total magnetization: 0.0 μB/f.u.

***

A plane-wave DFT calculation with PBE-GGA was carried out for crystalline PaCd2PdO6 at its relaxed geometry.

Cell lengths 5.7190, 5.8042, 5.8555 Å; angles 62.67, 62.20, 58.07 degrees
Positions (direct):
O1 0.5840 0.1911 0.2623
O2 0.4527 0.7039 0.7582
O3 0.6756 0.1047 0.7785
O4 0.0791 0.4477 0.8013
O5 0.1776 0.9312 0.2834
O6 0.9651 0.5655 0.2801
Cd1 0.5552 0.5337 0.3714
Cd2 0.0358 0.0471 0.8903
Pd1 0.3199 0.3216 0.0408
Pa1 0.8166 0.8151 0.5489

Properties
- Symmetry: No. 1
- Total magnetization: 1.0 μB/f.u.

***

Per-record density, g cm⁻³: 7.9, 7.1, 8.4, 9.2, 8.3, 11.1, 7.8, 6.3, 7.7, 7.5, 8.4, 8.1, 9.2, 7.9, 8.1, 6.5, 7.8
Per-record DFT total energy, Ry/atom: -0.5608, -0.5633, -0.4753, -0.4880, -0.4953, -0.5179, -0.5543, -0.6398, -0.4898, -0.4063, -0.5041, -0.4872, -0.5684, -0.5086, -0.4659, -0.4468, -0.4631
Per-record uncorrected formation energy, eV/f.u.: -28.398, -13.033, -14.107, -4.549, -42.224, -3.321, -12.424, -35.389, -32.680, -20.859, -15.961, -15.787, -29.528, -14.486, -18.600, -12.486, -16.739